## AgP2Se (GGA-PBE)

Data for a relaxed structure of AgP2Se.

Summary:
E in eV/atom: -4.101
DOS(E_F) in states/eV/atom: 0.45

a b c (Å): 9.2452 9.2452 9.2452
angles (deg): 20.28 20.28 20.28
Last column: nearest neighbours and their distance in Å.
Sites, in units of the cell vectors:
Ag (0.7416, 0.7416, 0.7416)  3 Se 2.76, 3 P 2.89
P (0.2812, 0.2812, 0.2812)  3 P 2.26
P (0.9942, 0.9942, 0.9942)  3 P 2.26
Se (0.4829, 0.4829, 0.4829)  3 Ag 2.76